The following is a PBE with a Hubbard U calculation of a relaxed structure of KNiP2O, from the Alexandria database.

a = 4.1577 Å, b = 4.1577 Å, c = 5.6457 Å
α = 90.00°, β = 90.00°, γ = 90.00°
Last column: nearest neighbours and their distance in Å.
Fractional coordinates of all 5 atoms:
K 0.0000 0.0000 0.0000  4 O 2.94
Ni 0.5000 0.5000 0.5000  4 P 2.08
P 0.0000 0.5000 0.5000  2 Ni 2.08
P 0.5000 0.0000 0.5000  2 Ni 2.08
O 0.5000 0.5000 0.0000  2 Ni 2.82, 4 K 2.94

Calculated values
D(E_F)	1.36	states/eV/f.u.
crystal system	tetragonal
symmetry	P4/mmm (123)
M_tot	1.01	Bohr magnetons per cell
volume	19.52	Å³ per atom
E	-17.283	eV/cell